(1)
A plane-wave DFT calculation with GGA-PBE was carried out for a relaxed structure of Dy2Al4RhAu3.

a = 4.1859 Å, b = 4.1859 Å, c = 10.9527 Å
α = 90.00°, β = 90.00°, γ = 90.00°
Closest atoms and distances in Å follow each position.
Fractional positions:
Dy: 0.0000 0.5000 0.2448  6 Au 3.21-3.40, 8 Al 3.22-3.49, 2 Rh 3.40
Dy: 0.5000 0.0000 0.7552  6 Au 3.21-3.40, 8 Al 3.22-3.49, 2 Rh 3.40
Al: 0.0000 0.0000 0.5000  4 Au 2.61
Al: 0.0000 0.5000 0.8714  3 Au 2.51-2.52, 2 Rh 2.52
Al: 0.5000 0.0000 0.1286  3 Au 2.51-2.52, 2 Rh 2.52
Al: 0.5000 0.5000 0.5000  4 Au 2.61
Rh: 0.5000 0.5000 0.0000  4 Al 2.52
Au: 0.0000 0.0000 0.0000  4 Al 2.52
Au: 0.0000 0.5000 0.6424  5 Al 2.51-2.61
Au: 0.5000 0.0000 0.3576  5 Al 2.51-2.61

Output
The total magnetic moment comes out at 0.00 Bohr magnetons per cell. As for the formation energy: -0.750 eV/atom. As for the space group: P-4m2, No. 115.

***

(2)
A plane-wave DFT calculation with GGA-PBE was carried out for a relaxed structure of Si3HW.

a = 3.8869 Å, b = 3.8869 Å, c = 3.8869 Å
α = 90.00°, β = 90.00°, γ = 90.00°
Closest atoms and distances in Å follow each position.
Fractional positions:
Si: 0.0000 0.0000 0.5000  2 H 1.94
Si: 0.0000 0.5000 0.0000  2 H 1.94
Si: 0.5000 0.0000 0.0000  2 H 1.94
H: 0.0000 0.0000 0.0000  6 Si 1.94
W: 0.5000 0.5000 0.5000  12 Si 2.75

Output
The total magnetic moment comes out at 0.00 Bohr magnetons per cell. For the relative energy among the computed polymorphs, the calculation gives 0.0 meV per atom. As for the space group: Pm-3m, No. 221.

***

(3)
A plane-wave DFT calculation with GGA-PBE was carried out for a relaxed structure of KZnAu.

a = 4.5078 Å, b = 4.5078 Å, c = 4.8934 Å
α = 90.00°, β = 90.00°, γ = 120.00°
Closest atoms and distances in Å follow each position.
Fractional positions:
K: 0.0000 0.0000 0.0000  6 Zn 3.57, 6 Au 3.57
Zn: 0.3333 0.6667 0.5000  3 Au 2.60
Au: 0.6667 0.3333 0.5000  3 Zn 2.60

Output
The total magnetic moment comes out at 0.00 Bohr magnetons per cell. For the relative energy among the computed polymorphs, the calculation gives 13.5 meV per atom. As for the formation energy: -0.227 eV/atom. As for the space group: P-6m2, No. 187.